# 1
A plane-wave DFT calculation with PBE-GGA was carried out for an optimized crystal structure of NpCrTcSn.

Structure (POSCAR):
```
NpCrTcSn
1.0
-3.4772 -0.0337 3.0857
0.9134 -0.5466 4.5256
-0.5435 3.5694 2.9287
Np Cr Sn Tc
1 1 1 1
direct
0.7500 0.7500 0.7500
0.0000 0.0000 0.0000
0.2500 0.2500 0.2500
0.5000 0.5000 0.5000
```

Properties
formation energy = 0.1899 eV/atom
total moment = 1.186 μB/atom

# 2
A plane-wave DFT calculation with PBE-GGA was carried out for an optimized crystal structure of NpCrTc.

Structure (POSCAR):
```
NpCrTc
1.0
3.3831 0.0000 0.0000
0.0000 3.3831 0.0000
-1.6916 -1.6916 8.5462
Tc Cr Np
2 2 2
direct
0.0770 0.0770 0.1540
0.9230 0.9230 0.8460
0.6235 0.6235 0.2470
0.3765 0.3765 0.7530
0.7775 0.7775 0.5550
0.2225 0.2225 0.4450
```

Properties
formation energy = 0.4184 eV/atom
total moment = 0.000 μB/atom
energy above the most stable polymorph in this dataset = 16.2 kJ/mol of atoms

# 3
A plane-wave DFT calculation with PBE-GGA was carried out for an optimized crystal structure of NpCrTc.

Structure (POSCAR):
```
NpCrTc
1.0
-2.7122 0.2199 -1.0382
-0.9119 -1.9403 1.9712
0.7522 5.0790 3.1959
Np Cr Tc
1 1 1
direct
0.0052 0.0052 0.0104
0.6863 0.6863 0.3726
0.3085 0.3085 0.6170
```

Properties
formation energy = 0.2501 eV/atom
total moment = 0.769 μB/atom
energy above the most stable polymorph in this dataset = 0.0 kJ/mol of atoms

# 4
A plane-wave DFT calculation with PBE-GGA was carried out for an optimized crystal structure of NpVCrTc.

Structure (POSCAR):
```
NpVCrTc
1.0
-3.4620 1.2836 2.4472
-4.1241 -0.7334 -1.4406
-2.5403 -3.0262 2.0027
Np Cr Tc V
1 1 1 1
direct
0.0000 0.0000 0.0000
0.7500 0.7500 0.7500
0.2500 0.2500 0.2500
0.5000 0.5000 0.5000
```

Properties
formation energy = 0.2062 eV/atom
total moment = 0.642 μB/atom

# 5
A plane-wave DFT calculation with PBE-GGA was carried out for an optimized crystal structure of NpCrTe3.

Structure (POSCAR):
```
NpCrTe3
1.0
-5.8873 1.5974 -1.1151
-1.9052 -7.4028 -0.5459
-2.2566 -0.2693 11.5282
Np Cr Te
4 4 12
direct
0.7500 0.5640 0.6605
0.2500 0.4360 0.3395
0.7500 0.0640 0.3395
0.2500 0.9360 0.6605
0.5000 0.2500 0.0757
0.0000 0.7500 0.9243
0.5000 0.7500 0.9243
0.0000 0.2500 0.0757
0.0000 0.2500 0.5441
0.5000 0.7500 0.4559
0.0000 0.7500 0.4559
0.5000 0.2500 0.5441
0.2500 0.0689 0.9129
0.7500 0.9311 0.0871
0.2500 0.5689 0.0871
0.7500 0.4311 0.9129
0.2500 0.5702 0.7562
0.7500 0.4298 0.2438
0.2500 0.0702 0.2438
0.7500 0.9298 0.7562
```

Properties
total moment = 1.521 μB/atom
formation energy without anion corrections = -0.394 eV per atom

# 6
A plane-wave DFT calculation with PBE-GGA was carried out for an optimized crystal structure of Np3Cr5Te12.

Structure (POSCAR):
```
Np3Cr5Te12
1.0
14.6764 0.0000 0.0000
-4.8921 13.8371 0.0000
-4.8921 -6.9185 11.9832
Np Cr Te
12 20 48
direct
0.7500 0.3750 0.1250
0.8750 0.7500 0.1250
0.3750 0.7500 0.6250
0.2500 0.1250 0.3750
0.8750 0.1250 0.2500
0.3750 0.6250 0.2500
0.6250 0.3750 0.7500
0.1250 0.8750 0.7500
0.7500 0.8750 0.6250
0.6250 0.2500 0.3750
0.1250 0.2500 0.8750
0.2500 0.6250 0.8750
0.1250 0.3750 0.2500
0.0000 0.5000 0.0000
0.0000 0.0000 0.0000
0.3750 0.2500 0.1250
0.5000 0.0000 0.5000
0.5000 0.5000 0.0000
0.1250 0.7500 0.3750
0.7500 0.1250 0.8750
0.7500 0.6250 0.3750
0.3750 0.1250 0.7500
0.6250 0.8750 0.2500
0.5000 0.5000 0.5000
0.5000 0.0000 0.0000
0.0000 0.0000 0.5000
0.2500 0.3750 0.6250
0.2500 0.8750 0.1250
0.0000 0.5000 0.5000
0.8750 0.2500 0.6250
0.6250 0.7500 0.8750
0.8750 0.6250 0.7500
0.7104 0.1210 0.0350
0.3247 0.5350 0.4140
0.9650 0.3790 0.2896
0.5350 0.2104 0.1210
0.5893 0.7104 0.6753
0.9650 0.5860 0.1753
0.3247 0.7896 0.4107
0.0860 0.9107 0.1210
0.5860 0.9650 0.6753
0.7104 0.5893 0.1753
0.7896 0.4650 0.3790
0.8247 0.9140 0.0350
0.1210 0.7104 0.5350
0.3790 0.4140 0.0893
0.0893 0.9140 0.3790
0.4107 0.1210 0.5860
0.0893 0.1753 0.2104
0.4650 0.6753 0.0860
0.8247 0.9107 0.2896
0.1210 0.4107 0.0860
0.3790 0.9650 0.7896
0.5860 0.6210 0.4107
0.9140 0.8247 0.5350
0.7896 0.3247 0.9107
0.4140 0.3790 0.5893
0.0860 0.1753 0.4650
0.2104 0.6753 0.0893
0.1753 0.0893 0.7104
0.6210 0.0350 0.2104
0.8790 0.5893 0.9140
0.5350 0.3247 0.9140
0.5893 0.8790 0.4140
0.9107 0.8247 0.7896
0.9107 0.0860 0.6210
0.8790 0.2896 0.4650
0.1753 0.0860 0.9650
0.6210 0.5860 0.9107
0.4140 0.0350 0.3247
0.2896 0.4107 0.8247
0.2104 0.5350 0.6210
0.9140 0.0893 0.8790
0.6753 0.2104 0.5893
0.4650 0.7896 0.8790
0.0350 0.4140 0.8247
0.4107 0.2896 0.3247
0.0350 0.6210 0.7104
0.6753 0.4650 0.5860
0.2896 0.8790 0.9650
```

Properties
total moment = 0.258 μB/atom
formation energy without anion corrections = -0.203 eV per atom

# 7
A plane-wave DFT calculation with PBE-GGA was carried out for an optimized crystal structure of Np2Tl3CrTe6.

Structure (POSCAR):
```
Np2Tl3CrTe6
1.0
-0.5778 -6.9874 -2.7601
4.7231 1.4181 5.6971
-7.3542 0.2462 4.3649
Np Tl Cr Te
2 3 1 6
direct
0.3348 0.6652 0.0000
0.6652 0.3348 0.0000
0.1744 0.8256 0.5000
0.8256 0.1744 0.5000
0.5000 0.5000 0.5000
0.0000 0.0000 0.0000
0.9331 0.6195 0.7968
0.7559 0.7559 0.2110
0.0669 0.3805 0.2032
0.6195 0.9331 0.7968
0.2441 0.2441 0.7890
0.3805 0.0669 0.2032
```

Properties
total moment = 0.917 μB/atom
formation energy without anion corrections = -0.435 eV per atom

# 8
A plane-wave DFT calculation with PBE-GGA was carried out for an optimized crystal structure of NpTiCr4.

Structure (POSCAR):
```
NpTiCr4
1.0
-0.1411 -4.2005 2.6379
3.9771 -1.4325 2.5988
-0.0775 0.1854 4.9581
Np Cr Ti
1 4 1
direct
0.2500 0.2500 0.2500
0.6255 0.6255 0.1235
0.6255 0.1235 0.6255
0.6255 0.6255 0.6255
0.1235 0.6255 0.6255
0.0000 0.0000 0.0000
```

Properties
formation energy = 0.2769 eV/atom
total moment = 0.544 μB/atom

# 9
A plane-wave DFT calculation with PBE-GGA was carried out for an optimized crystal structure of NpUCr.

Structure (POSCAR):
```
NpUCr
1.0
-4.8483 -3.3791 0.3822
2.8851 -4.7231 -5.1599
1.5035 -1.6698 4.3095
U Cr Np
4 4 4
direct
0.5661 0.2898 0.8514
0.0661 0.2102 0.1486
0.4339 0.7102 0.1486
0.9339 0.7898 0.8514
0.9095 0.6274 0.1933
0.5905 0.1274 0.1933
0.0905 0.3726 0.8067
0.4095 0.8726 0.8067
0.2030 0.9896 0.4535
0.2970 0.4896 0.4535
0.7970 0.0104 0.5465
0.7030 0.5104 0.5465
```

Properties
formation energy = 0.2225 eV/atom
total moment = 0.000 μB/atom

# 10
A plane-wave DFT calculation with PBE-GGA was carried out for an optimized crystal structure of NpCr4W.

Structure (POSCAR):
```
NpCr4W
1.0
4.9645 0.0000 0.0000
2.4823 4.2994 0.0000
2.4823 1.4331 4.0535
Np Cr W
1 4 1
direct
0.2500 0.2500 0.2500
0.6255 0.6255 0.1234
0.6255 0.1234 0.6255
0.6255 0.6255 0.6255
0.1234 0.6255 0.6255
0.0000 0.0000 0.0000
```

Properties
formation energy = 0.4038 eV/atom
total moment = 0.698 μB/atom

# 11
A plane-wave DFT calculation with PBE-GGA was carried out for an optimized crystal structure of NpZn4Cr.

Structure (POSCAR):
```
NpZn4Cr
1.0
5.2301 0.0000 0.0000
2.6150 4.5294 0.0000
2.6150 1.5098 4.2703
Np Cr Zn
1 1 4
direct
0.2500 0.2500 0.2500
0.0000 0.0000 0.0000
0.6259 0.6259 0.1222
0.6259 0.1222 0.6259
0.6259 0.6259 0.6259
0.1222 0.6259 0.6259
```

Properties
formation energy = 0.2045 eV/atom
total moment = 1.122 μB/atom

# 12
A plane-wave DFT calculation with PBE-GGA was carried out for an optimized crystal structure of ZrNpCr.

Structure (POSCAR):
```
ZrNpCr
1.0
5.3747 0.0000 0.0000
2.6874 4.6546 0.0000
2.6874 1.5515 12.7503
Zr Np Cr
6 6 6
direct
0.7288 0.7288 0.8137
0.2712 0.2712 0.1863
0.0373 0.0373 0.8882
0.9627 0.9627 0.1118
0.1820 0.1820 0.4541
0.8180 0.8180 0.5459
0.1992 0.7376 0.3255
0.7376 0.1992 0.3255
0.7376 0.7376 0.3255
0.8008 0.2624 0.6745
0.2624 0.8008 0.6745
0.2624 0.2624 0.6745
0.3830 0.3830 0.8509
0.6170 0.6170 0.1491
0.0000 0.5000 0.0000
0.5000 0.0000 0.0000
0.5000 0.5000 0.0000
0.5000 0.5000 0.5000
```

Properties
formation energy = 0.2102 eV/atom
total moment = 0.045 μB/atom